(1)
Here is a geometry-optimized ZrCdTc2 structure from Alexandria. Energies are from GGA-PBE.

Summary:
energy of formation from the pure elements = 0.39 eV per atom
total moment = 0.0 μB/f.u.

Cell: 2.7705 2.7705 9.2334 Å, 90.00 90.00 90.00°
Space group P4/mmm (No. 123)
Asymmetric unit:
1 Zr 0.0000 0.0000 0.0000 [1 per cell]
2 Cd 0.0000 0.0000 0.5000 [1 per cell]
3 Tc 0.5000 0.5000 0.2530 [2 per cell]



(2)
Here is a geometry-optimized Sc4TlCu structure from Alexandria. Energies are from GGA-PBE.

Summary:
distance to the lowest polymorph of the same formula = 337 meV/atom
energy of formation from the pure elements = 0.36 eV per atom
total moment = 0.0 μB/f.u.

Cell: 8.2045 8.2045 8.2045 Å, 90.00 90.00 90.00°
Space group F-43m (No. 216)
Asymmetric unit:
1 Sc 0.1247 0.1247 0.1247 [16 per cell]
2 Tl 0.2500 0.2500 0.7500 [4 per cell]
3 Cu 0.0000 0.0000 0.5000 [4 per cell]